Entry from Alexandria via LeMat-Bulk: crystalline KNi2As at its relaxed geometry (GGA-PBE).

Geometry as CIF:
```
data_KNi2As
_symmetry_space_group_name_H-M 'P 1'
_symmetry_Int_Tables_number 1
_cell_length_a 4.083
_cell_length_b 4.082
_cell_length_c 6.347
_cell_angle_alpha 106.18
_cell_angle_beta 90.00
_cell_angle_gamma 120.00
loop_
_symmetry_equiv_pos_as_xyz
'x,y,z'
loop_
_atom_site_label
_atom_site_type_symbol
_atom_site_fract_x
_atom_site_fract_y
_atom_site_fract_z
_atom_site_occupancy
Ni1 Ni 0.925 0.851 0.800 1
K1 K 0.773 0.546 0.267 1
As1 As 0.570 0.140 0.726 1
Ni2 Ni 0.232 0.463 0.707 1
```

Results
Its formation energy is -0.176 eV per atom. The total energy is -4.504 eV/atom.

***

Entry from Alexandria via LeMat-Bulk: crystalline ScCdIr2 at its relaxed geometry (GGA-PBE).

Geometry as CIF:
```
data_ScCdIr2
_symmetry_space_group_name_H-M 'P 1'
_symmetry_Int_Tables_number 1
_cell_length_a 2.895
_cell_length_b 2.895
_cell_length_c 8.284
_cell_angle_alpha 90.00
_cell_angle_beta 90.00
_cell_angle_gamma 90.00
loop_
_symmetry_equiv_pos_as_xyz
'x,y,z'
loop_
_atom_site_label
_atom_site_type_symbol
_atom_site_fract_x
_atom_site_fract_y
_atom_site_fract_z
_atom_site_occupancy
Ir1 Ir 0.500 0.500 0.239 1
Cd1 Cd 0.500 0.500 0.769 1
Sc1 Sc 0.000 0.000 0.470 1
Ir2 Ir 0.000 0.000 0.021 1
```

Results
Its formation energy is -0.157 eV per atom. The total energy is -6.399 eV/atom.